No. 1
The following is a PBEsol calculation of a relaxed ZrAl5Si crystal, from Alexandria via LeMat-Bulk.

Unit cell a=3.8600 b=3.8600 c=8.4576 alpha=90.00 beta=90.00 gamma=90.00
Last column: nearest neighbours and their distance in Å.
Positions (direct):
Zr (0.0000, 0.0000, 0.0000)  8 Al 2.88
Al (0.0000, 0.5000, 0.2522)  6 Al 2.73-2.85, 2 Si 2.85, 2 Zr 2.88
Al (0.0000, 0.5000, 0.7478)  6 Al 2.73-2.85, 2 Si 2.85, 2 Zr 2.88
Al (0.5000, 0.0000, 0.2522)  6 Al 2.73-2.85, 2 Si 2.85, 2 Zr 2.88
Al (0.5000, 0.0000, 0.7478)  6 Al 2.73-2.85, 2 Si 2.85, 2 Zr 2.88
Al (0.5000, 0.5000, 0.5000)  4 Si 2.73, 8 Al 2.85
Si (0.0000, 0.0000, 0.5000)  12 Al 2.73-2.85

Calculated values
Magnetic moment   0.000 μB per cell
Total DFT energy (no corrections)   -4.98 eV/atom
SG   P4/mmm, No. 123
Uncorrected formation energy   0.0648 eV/atom

No. 2
The following is a PBEsol calculation of a relaxed ZrAl2Si crystal, from Alexandria via LeMat-Bulk.

Unit cell a=3.0018 b=3.0018 c=9.5026 alpha=90.00 beta=90.00 gamma=120.00
Last column: nearest neighbours and their distance in Å.
Positions (direct):
Zr (0.0000, 0.0000, 0.0000)  2 Al 2.78, 6 Zr 3.00
Al (0.0000, 0.0000, 0.2926)  3 Si 2.62, 1 Zr 2.78
Al (0.0000, 0.0000, 0.7074)  3 Si 2.62, 1 Zr 2.78
Si (0.3333, 0.6667, 0.5000)  6 Al 2.62

Calculated values
Magnetic moment   0.000 μB per cell
Total DFT energy (no corrections)   -5.43 eV/atom
SG   P-6m2, No. 187
Uncorrected formation energy   0.3229 eV/atom

No. 3
The following is a PBEsol calculation of a relaxed Zr2Al4Si crystal, from Alexandria via LeMat-Bulk.

Unit cell a=5.2308 b=3.0253 c=15.9460 alpha=90.00 beta=96.14 gamma=90.00
Last column: nearest neighbours and their distance in Å.
Positions (direct):
Zr (0.0000, 0.0000, 0.0000)  6 Al 2.95-3.02, 6 Zr 3.02-3.03
Zr (0.2309, 0.0000, 0.6898)  6 Al 2.94-3.01, 6 Zr 3.02-3.03
Zr (0.5000, 0.5000, 0.0000)  6 Al 2.95-3.02, 6 Zr 3.02-3.03
Zr (0.7309, 0.5000, 0.6898)  6 Al 2.94-3.01, 6 Zr 3.02-3.03
Al (0.1152, 0.5000, 0.8446)  6 Zr 3.01-3.02, 6 Al 3.02-3.03
Al (0.1367, 0.0000, 0.4041)  3 Si 2.66, 3 Al 2.78
Al (0.3485, 0.5000, 0.5406)  9 Al 2.78-3.03, 3 Zr 2.94
Al (0.3837, 0.0000, 0.1501)  3 Si 2.67-2.68, 3 Zr 2.95
Al (0.6152, 0.0000, 0.8446)  6 Zr 3.01-3.02, 6 Al 3.02-3.03
Al (0.6367, 0.5000, 0.4041)  3 Si 2.66, 3 Al 2.78
Al (0.8485, 0.0000, 0.5406)  9 Al 2.78-3.03, 3 Zr 2.94
Al (0.8837, 0.5000, 0.1501)  3 Si 2.67-2.68, 3 Zr 2.95
Si (0.2605, 0.5000, 0.2777)  6 Al 2.66-2.68
Si (0.7605, 0.0000, 0.2777)  6 Al 2.66-2.68

Calculated values
Magnetic moment   0.000 μB per cell
Total DFT energy (no corrections)   -5.82 eV/atom
SG   Cm, No. 8
Uncorrected formation energy   -0.0637 eV/atom

No. 4
The following is a PBEsol calculation of a relaxed Zr2AlSi2 crystal, from Alexandria via LeMat-Bulk.

Unit cell a=5.6945 b=5.6945 c=6.7946 alpha=106.48 beta=106.48 gamma=55.74
Last column: nearest neighbours and their distance in Å.
Positions (direct):
Zr (0.0131, 0.7537, 0.5390)  6 Si 2.77-3.06, 3 Zr 2.87-3.07, 3 Al 2.88-3.08
Zr (0.2463, 0.9869, 0.9610)  6 Si 2.77-3.06, 3 Zr 2.87-3.07, 3 Al 2.88-3.08
Zr (0.7537, 0.0131, 0.0390)  6 Si 2.77-3.06, 3 Zr 2.87-3.07, 3 Al 2.88-3.08
Zr (0.9869, 0.2463, 0.4610)  6 Si 2.77-3.06, 3 Zr 2.87-3.07, 3 Al 2.88-3.08
Al (0.3677, 0.6323, 0.2500)  4 Si 2.60-2.63, 2 Zr 2.88
Al (0.6323, 0.3677, 0.7500)  4 Si 2.60-2.63, 2 Zr 2.88
Si (0.1843, 0.4650, 0.8684)  2 Al 2.60-2.63, 4 Zr 2.77-2.89
Si (0.4650, 0.1843, 0.3684)  2 Al 2.60-2.63, 4 Zr 2.77-2.89
Si (0.5350, 0.8157, 0.6316)  2 Al 2.60-2.63, 4 Zr 2.77-2.89
Si (0.8157, 0.5350, 0.1316)  2 Al 2.60-2.63, 4 Zr 2.77-2.89

Calculated values
Magnetic moment   0.000 μB per cell
Total DFT energy (no corrections)   -7.30 eV/atom
SG   C2/c, No. 15
Uncorrected formation energy   -0.5509 eV/atom

No. 5
The following is a PBEsol calculation of a relaxed ZrAl2Si crystal, from Alexandria via LeMat-Bulk.

Unit cell a=4.7016 b=4.7016 c=7.4641 alpha=90.00 beta=90.00 gamma=120.00
Last column: nearest neighbours and their distance in Å.
Positions (direct):
Zr (0.0000, 0.0000, 0.0000)  6 Al 2.78
Zr (0.0000, 0.0000, 0.5000)  6 Al 2.78
Al (0.3333, 0.6667, 0.0825)  1 Si 2.48, 1 Al 2.50
Al (0.3333, 0.6667, 0.4175)  1 Si 2.48, 1 Al 2.50
Al (0.6667, 0.3333, 0.5825)  1 Si 2.48, 1 Al 2.50
Al (0.6667, 0.3333, 0.9175)  1 Si 2.48, 1 Al 2.50
Si (0.3333, 0.6667, 0.7500)  2 Al 2.48
Si (0.6667, 0.3333, 0.2500)  2 Al 2.48

Calculated values
Magnetic moment   0.000 μB per cell
Total DFT energy (no corrections)   -5.54 eV/atom
SG   P6_3/mmc, No. 194
Uncorrected formation energy   0.2165 eV/atom

No. 6
The following is a PBEsol calculation of a relaxed ZrAl2Si crystal, from Alexandria via LeMat-Bulk.

Unit cell a=3.8249 b=3.8249 c=8.9793 alpha=90.00 beta=90.00 gamma=90.00
Last column: nearest neighbours and their distance in Å.
Positions (direct):
Zr (0.0000, 0.0000, 0.0000)  4 Si 2.70, 8 Al 2.95
Zr (0.5000, 0.5000, 0.5000)  4 Si 2.70, 8 Al 2.95
Al (0.0000, 0.5000, 0.2500)  4 Al 2.70, 4 Zr 2.95, 4 Si 2.95
Al (0.0000, 0.5000, 0.7500)  4 Al 2.70, 4 Zr 2.95, 4 Si 2.95
Al (0.5000, 0.0000, 0.2500)  4 Al 2.70, 4 Zr 2.95, 4 Si 2.95
Al (0.5000, 0.0000, 0.7500)  4 Al 2.70, 4 Zr 2.95, 4 Si 2.95
Si (0.0000, 0.0000, 0.5000)  4 Zr 2.70, 8 Al 2.95
Si (0.5000, 0.5000, 0.0000)  4 Zr 2.70, 8 Al 2.95

Calculated values
Magnetic moment   0.000 μB per cell
Total DFT energy (no corrections)   -6.26 eV/atom
SG   I4/mmm, No. 139
Uncorrected formation energy   -0.5092 eV/atom

No. 7
The following is a PBEsol calculation of a relaxed SmAl crystal, from Alexandria via LeMat-Bulk.

Unit cell a=3.6299 b=3.6299 c=3.6299 alpha=90.00 beta=90.00 gamma=90.00
Last column: nearest neighbours and their distance in Å.
Positions (direct):
Sm (0.0000, 0.0000, 0.0000)  8 Al 3.14
Al (0.5000, 0.5000, 0.5000)  8 Sm 3.14

Calculated values
Magnetic moment   0.000 μB per cell
E_form   -0.378 eV per atom
Total DFT energy (no corrections)   -4.97 eV/atom
SG   Pm-3m, No. 221

No. 8
The following is a PBEsol calculation of a relaxed SmAl4 crystal, from Alexandria via LeMat-Bulk.

Unit cell a=7.8470 b=7.8470 c=7.8470 alpha=147.06 beta=132.62 gamma=58.91
Last column: nearest neighbours and their distance in Å.
Positions (direct):
Sm (0.3633, 0.1133, 0.2500)  13 Al 3.10-3.15
Sm (0.6367, 0.8867, 0.7500)  13 Al 3.10-3.15
Al (0.0000, 0.5000, 0.5000)  2 Al 2.72
Al (0.1362, 0.8862, 0.2500)  10 Al 2.84-3.14, 3 Sm 3.10-3.15
Al (0.1601, 0.6983, 0.4618)  7 Al 2.64-2.89
Al (0.2635, 0.3017, 0.9618)  7 Al 2.64-2.89
Al (0.5000, 0.5000, 0.0000)  2 Al 2.72
Al (0.7365, 0.6983, 0.0382)  7 Al 2.64-2.89
Al (0.8399, 0.3017, 0.5382)  7 Al 2.64-2.89
Al (0.8638, 0.1138, 0.7500)  10 Al 2.84-3.14, 3 Sm 3.10-3.15

Calculated values
ΔE to the lowest computed polymorph   0.000 eV/atom
Magnetic moment   0.000 μB per cell
E_form   -0.355 eV per atom
Total DFT energy (no corrections)   -4.65 eV/atom
SG   Imma, No. 74

No. 9
The following is a PBEsol calculation of a relaxed SmAl crystal, from Alexandria via LeMat-Bulk.

Unit cell a=5.8502 b=11.5451 c=5.6201 alpha=90.00 beta=90.00 gamma=90.00
Last column: nearest neighbours and their distance in Å.
Positions (direct):
Sm (0.0941, 0.1672, 0.2500)  6 Al 3.09-3.28, 3 Sm 3.26-3.40
Sm (0.0941, 0.3328, 0.7500)  6 Al 3.09-3.28, 3 Sm 3.26-3.40
Sm (0.3374, 0.0114, 0.7500)  8 Al 3.09-3.38, 3 Sm 3.26-3.40
Sm (0.3374, 0.4886, 0.2500)  8 Al 3.09-3.38, 3 Sm 3.26-3.40
Sm (0.6626, 0.5114, 0.7500)  8 Al 3.09-3.38, 3 Sm 3.26-3.40
Sm (0.6626, 0.9886, 0.2500)  8 Al 3.09-3.38, 3 Sm 3.26-3.40
Sm (0.9059, 0.6672, 0.2500)  6 Al 3.09-3.28, 3 Sm 3.26-3.40
Sm (0.9059, 0.8328, 0.7500)  6 Al 3.09-3.28, 3 Sm 3.26-3.40
Al (0.1639, 0.5993, 0.7500)  2 Al 2.73
Al (0.1639, 0.9007, 0.2500)  2 Al 2.73
Al (0.4302, 0.7500, 0.0000)  4 Al 2.73-2.81
Al (0.4302, 0.7500, 0.5000)  4 Al 2.73-2.81
Al (0.5698, 0.2500, 0.0000)  4 Al 2.73-2.81
Al (0.5698, 0.2500, 0.5000)  4 Al 2.73-2.81
Al (0.8361, 0.0993, 0.7500)  2 Al 2.73
Al (0.8361, 0.4007, 0.2500)  2 Al 2.73

Calculated values
Magnetic moment   0.000 μB per cell
E_form   -0.405 eV per atom
Total DFT energy (no corrections)   -5.00 eV/atom
SG   Pbcm, No. 57

No. 10
The following is a PBEsol calculation of a relaxed Sm3Al11 crystal, from Alexandria via LeMat-Bulk.

Unit cell a=8.3609 b=8.3609 c=8.3609 alpha=150.07 beta=107.31 gamma=80.55
Last column: nearest neighbours and their distance in Å.
Positions (direct):
Sm (0.0000, 0.0000, 0.0000)  16 Al 3.24-3.59
Sm (0.3160, 0.3160, 0.0000)  12 Al 3.14-3.19
Sm (0.6840, 0.6840, 0.0000)  12 Al 3.14-3.19
Al (0.0343, 0.6645, 0.3699)  5 Al 2.58-2.70
Al (0.1387, 0.8631, 0.2755)  6 Al 2.62-2.83
Al (0.2899, 0.5000, 0.7899)  6 Al 2.63-2.78
Al (0.2946, 0.6645, 0.6301)  5 Al 2.58-2.70
Al (0.4124, 0.1369, 0.2755)  6 Al 2.62-2.83
Al (0.5000, 0.0000, 0.5000)  8 Al 2.83-3.00
Al (0.5876, 0.8631, 0.7245)  6 Al 2.62-2.83
Al (0.7054, 0.3355, 0.3699)  5 Al 2.58-2.70
Al (0.7101, 0.5000, 0.2101)  6 Al 2.63-2.78
Al (0.8613, 0.1369, 0.7245)  6 Al 2.62-2.83
Al (0.9657, 0.3355, 0.6301)  5 Al 2.58-2.70

Calculated values
Magnetic moment   0.000 μB per cell
E_form   -0.363 eV per atom
Total DFT energy (no corrections)   -4.67 eV/atom
SG   Immm, No. 71

No. 11
The following is a PBEsol calculation of a relaxed Sm3Al crystal, from Alexandria via LeMat-Bulk.

Unit cell a=4.7592 b=4.7592 c=4.7592 alpha=90.00 beta=90.00 gamma=90.00
Last column: nearest neighbours and their distance in Å.
Positions (direct):
Sm (0.0000, 0.0000, 0.5000)  4 Al 3.37, 8 Sm 3.37
Sm (0.0000, 0.5000, 0.0000)  4 Al 3.37, 8 Sm 3.37
Sm (0.5000, 0.0000, 0.0000)  4 Al 3.37, 8 Sm 3.37
Al (0.5000, 0.5000, 0.5000)  12 Sm 3.37

Calculated values
ΔE to the lowest computed polymorph   0.009 eV/atom
Magnetic moment   0.002 μB per cell
E_form   -0.196 eV per atom
Total DFT energy (no corrections)   -5.04 eV/atom
SG   Pm-3m, No. 221

No. 12
The following is a PBEsol calculation of a relaxed SmAl3 crystal, from Alexandria via LeMat-Bulk.

Unit cell a=6.3193 b=6.3193 c=4.6063 alpha=90.00 beta=90.00 gamma=120.00
Last column: nearest neighbours and their distance in Å.
Positions (direct):
Sm (0.3333, 0.6667, 0.2500)  12 Al 3.09-3.17
Sm (0.6667, 0.3333, 0.7500)  12 Al 3.09-3.17
Al (0.1452, 0.2904, 0.7500)  6 Al 2.75-2.80
Al (0.1452, 0.8548, 0.7500)  6 Al 2.75-2.80
Al (0.2904, 0.1452, 0.2500)  6 Al 2.75-2.80
Al (0.7096, 0.8548, 0.7500)  6 Al 2.75-2.80
Al (0.8548, 0.1452, 0.2500)  6 Al 2.75-2.80
Al (0.8548, 0.7096, 0.2500)  6 Al 2.75-2.80

Calculated values
Magnetic moment   0.000 μB per cell
E_form   -0.452 eV per atom
Total DFT energy (no corrections)   -4.79 eV/atom
SG   P6_3/mmc, No. 194

No. 13
The following is a PBEsol calculation of a relaxed Sm2Al crystal, from Alexandria via LeMat-Bulk.

Unit cell a=6.5337 b=5.1259 c=9.6076 alpha=90.00 beta=90.00 gamma=90.00
Last column: nearest neighbours and their distance in Å.
Positions (direct):
Sm (0.0276, 0.2500, 0.2070)  3 Al 3.15-3.19, 5 Sm 3.37-3.50
Sm (0.1897, 0.2500, 0.5759)  5 Al 3.10-3.39, 2 Sm 3.40
Sm (0.3103, 0.7500, 0.0759)  5 Al 3.10-3.39, 2 Sm 3.40
Sm (0.4724, 0.7500, 0.7070)  3 Al 3.15-3.19, 5 Sm 3.37-3.50
Sm (0.5276, 0.2500, 0.2930)  3 Al 3.15-3.19, 5 Sm 3.37-3.50
Sm (0.6897, 0.2500, 0.9241)  5 Al 3.10-3.39, 2 Sm 3.40
Sm (0.8103, 0.7500, 0.4241)  5 Al 3.10-3.39, 2 Sm 3.40
Sm (0.9724, 0.7500, 0.7930)  3 Al 3.15-3.19, 5 Sm 3.37-3.50
Al (0.2067, 0.2500, 0.8980)  8 Sm 3.10-3.39
Al (0.2933, 0.7500, 0.3980)  8 Sm 3.10-3.39
Al (0.7067, 0.2500, 0.6020)  8 Sm 3.10-3.39
Al (0.7933, 0.7500, 0.1020)  8 Sm 3.10-3.39

Calculated values
Magnetic moment   0.000 μB per cell
E_form   -0.258 eV per atom
Total DFT energy (no corrections)   -5.02 eV/atom
SG   Pnma, No. 62